Material: Hg2PbAu
Method: DFT, GGA-PBE
State: optimized geometry

Output
energy of formation from the pure elements	1	kJ/mol of atoms
N(E_F)	3.1	states/eV per cell

Lattice parameters (Å, degrees): 3.912 5.971 9.045 90.00 90.00 109.55
Sites, in units of the cell vectors:
Hg (0.356, 0.734, 0.535)
Hg (0.644, 0.266, 0.465)
Hg (0.356, 0.734, 0.965)
Hg (0.644, 0.266, 0.035)
Pb (0.941, 0.867, 0.250)
Pb (0.059, 0.133, 0.750)
Au (0.764, 0.561, 0.750)
Au (0.236, 0.439, 0.250)